VASP calculation (PBEsol) on crystalline RbZr2TlPt at its relaxed geometry.

N(E_F) = 1.295 states/eV/atom
DFT total energy = -3.633 eV per atom
formation enthalpy at 0 K = 2.1264 eV per atom

The structure in CIF format:
```
data_RbZr2TlPt
_chemical_formula_sum 'Rb1 Zr2 Tl1 Pt1'
_cell_length_a 4.880
_cell_length_b 4.880
_cell_length_c 5.360
_cell_angle_alpha 90.00
_cell_angle_beta 90.00
_cell_angle_gamma 90.00
_symmetry_space_group_name_H-M 'P 4/m m m'
_symmetry_Int_Tables_number 123
_symmetry_space_group_name_Hall '-P 4 2'
loop_
_atom_site_label
_atom_site_fract_x
_atom_site_fract_y
_atom_site_fract_z
Rb1 0.000 0.000 0.000
Zr1 0.000 0.500 0.000
Tl1 0.000 0.000 0.500
Pt1 0.500 0.500 0.500
```

VASP calculation (PBEsol) on crystalline CaTe2Mo at its relaxed geometry.

N(E_F) = 0.390 states/eV/atom
DFT total energy = -5.487 eV per atom
E_form (uncorrected) = -96 kJ/mol of formula units
energy relative to the lowest polymorph listed for this composition = 169.4 meV/atom

The structure in CIF format:
```
data_CaTe2Mo
_chemical_formula_sum 'Ca1 Te2 Mo1'
_cell_length_a 4.219
_cell_length_b 4.219
_cell_length_c 5.948
_cell_angle_alpha 90.00
_cell_angle_beta 90.00
_cell_angle_gamma 90.00
_symmetry_space_group_name_H-M 'P 4 m m'
_symmetry_Int_Tables_number 99
loop_
_symmetry_equiv_pos_as_xyz
'x,y,z'
'-y,x,z'
'-x,-y,z'
'y,-x,z'
'-x,y,z'
'y,x,z'
'x,-y,z'
'-y,-x,z'
loop_
_atom_site_label
_atom_site_fract_x
_atom_site_fract_y
_atom_site_fract_z
Ca1 0.000 0.000 0.000
Te1 0.000 0.000 0.499
Te2 0.500 0.500 0.990
Mo1 0.500 0.500 0.490
```

VASP calculation (PBEsol) on crystalline ZrCrCd at its relaxed geometry.

N(E_F) = 0.814 states/eV/atom
DFT total energy = -5.803 eV per atom
formation enthalpy at 0 K = 1.0401 eV per atom
energy relative to the lowest polymorph listed for this composition = 807.0 meV/atom

The structure in CIF format:
```
data_ZrCrCd
_chemical_formula_sum 'Zr4 Cr4 Cd4'
_cell_length_a 6.489
_cell_length_b 6.489
_cell_length_c 6.489
_cell_angle_alpha 90.00
_cell_angle_beta 90.00
_cell_angle_gamma 90.00
_symmetry_space_group_name_H-M 'F -4 3 m'
_symmetry_Int_Tables_number 216
_symmetry_space_group_name_Hall 'F -4 2 3'
loop_
_atom_site_label
_atom_site_fract_x
_atom_site_fract_y
_atom_site_fract_z
Zr1 0.000 0.000 0.000
Cr1 0.250 0.250 0.750
Cd1 0.250 0.250 0.250
```

What is the N(E_F) in the third record? 0.814 states/eV/atom

What is the DFT total energy in the second record? -5.487 eV per atom

Number 3 is which compound? ZrCrCd